No. 1
# Sb4Au5 (GGA-PBEsol, relaxed)
data_Sb4Au5
_cell_length_a 9.311
_cell_length_b 9.311
_cell_length_c 4.335
_cell_angle_alpha 90.00
_cell_angle_beta 90.00
_cell_angle_gamma 90.00
_space_group_name_H-M_alt 'I 4/m m m'
_space_group_IT_number 139
_space_group_name_Hall '-I 4 2'
loop_
_atom_site_label
_atom_site_type_symbol
_atom_site_fract_x
_atom_site_fract_y
_atom_site_fract_z
Sb1 Sb 0.000 0.301 0.000
Au1 Au 0.000 0.000 0.000
Au2 Au 0.166 0.166 0.500
# - Formation energy without anion corrections: 0.036 eV per atom
# - Fermi-level density of states: 2.6 states/eV/f.u.
# - Density: 13.0 Mg/m³
# - Raw total energy: -4.17 eV per atom



No. 2
# ScSb2Au (GGA-PBEsol, relaxed)
data_ScSb2Au
_cell_length_a 4.039
_cell_length_b 4.683
_cell_length_c 9.190
_cell_angle_alpha 90.00
_cell_angle_beta 90.00
_cell_angle_gamma 90.00
_space_group_name_H-M_alt 'I m m m'
_space_group_IT_number 71
_space_group_name_Hall '-I 2 2'
loop_
_atom_site_label
_atom_site_type_symbol
_atom_site_fract_x
_atom_site_fract_y
_atom_site_fract_z
Sc1 Sc 0.000 0.000 0.000
Sb1 Sb 0.000 0.500 0.242
Au1 Au 0.000 0.000 0.500
# - Formation energy without anion corrections: -0.379 eV per atom
# - Fermi-level density of states: 2.1 states/eV/f.u.
# - Density: 9.3 Mg/m³
# - Raw total energy: -5.29 eV per atom